Record 1
## YTcI2O (PBE)

Data for a geometry-optimized YTcI2O structure.

a = 5.7073 Å, b = 5.7073 Å, c = 3.7558 Å
α = 90.00°, β = 90.00°, γ = 90.00°
Atoms (fractional coordinates):
I 0.0000 0.5000 0.0000
I 0.5000 0.0000 0.0000
Y 0.5000 0.5000 0.5000
Tc 0.0000 0.0000 0.0000
O 0.0000 0.0000 0.5000

**Relative energy among the computed polymorphs**: 0 meV/atom
**Symmetry**: No. 123
**Formation energy without anion corrections**: -0.442 eV/atom
**Spin magnetization**: 0.00 μB per cell

=====

Record 2
## ZnTcI2O (PBE)

Data for a geometry-optimized ZnTcI2O structure.

a = 5.6231 Å, b = 5.6231 Å, c = 3.7577 Å
α = 90.00°, β = 90.00°, γ = 90.00°
Atoms (fractional coordinates):
I 0.0000 0.5000 0.0000
I 0.5000 0.0000 0.0000
Zn 0.5000 0.5000 0.5000
Tc 0.0000 0.0000 0.0000
O 0.0000 0.0000 0.5000

**Relative energy among the computed polymorphs**: 0 meV/atom
**Symmetry**: No. 123
**Formation energy without anion corrections**: -0.172 eV/atom
**Spin magnetization**: 0.00 μB per cell

=====

Record 3
## ZnTcIO2 (PBE)

Data for a geometry-optimized ZnTcIO2 structure.

a = 3.8632 Å, b = 3.8632 Å, c = 6.1989 Å
α = 90.00°, β = 90.00°, γ = 90.00°
Atoms (fractional coordinates):
I 0.0000 0.0000 0.5000
Zn 0.5000 0.5000 0.5000
Tc 0.0000 0.0000 0.0000
O 0.0000 0.5000 0.0000
O 0.5000 0.0000 0.0000

**Relative energy among the computed polymorphs**: 0 meV/atom
**Symmetry**: No. 123
**Formation energy without anion corrections**: -0.517 eV/atom
**Spin magnetization**: 0.00 μB per cell

=====

Record 4
## ZnTcIO2 (PBE)

Data for a geometry-optimized ZnTcIO2 structure.

a = 3.9520 Å, b = 3.9520 Å, c = 5.9220 Å
α = 90.00°, β = 90.00°, γ = 90.00°
Atoms (fractional coordinates):
I 0.0000 0.0000 0.5000
Zn 0.0000 0.0000 0.0000
Tc 0.5000 0.5000 0.5000
O 0.0000 0.5000 0.0000
O 0.5000 0.0000 0.0000

**Relative energy among the computed polymorphs**: 1000 meV/atom
**Symmetry**: No. 123
**Formation energy without anion corrections**: 0.482 eV/atom
**Spin magnetization**: 5.19 μB per cell

=====

Record 5
## ZnTcI2O (PBE)

Data for a geometry-optimized ZnTcI2O structure.

a = 5.8007 Å, b = 5.8007 Å, c = 3.6396 Å
α = 90.00°, β = 90.00°, γ = 90.00°
Atoms (fractional coordinates):
I 0.0000 0.5000 0.0000
I 0.5000 0.0000 0.0000
Zn 0.0000 0.0000 0.0000
Tc 0.5000 0.5000 0.5000
O 0.0000 0.0000 0.5000

**Relative energy among the computed polymorphs**: 605 meV/atom
**Symmetry**: No. 123
**Formation energy without anion corrections**: 0.432 eV/atom
**Spin magnetization**: 4.37 μB per cell

=====

Record 6
## ZrTcIO2 (PBE)

Data for a geometry-optimized ZrTcIO2 structure.

a = 4.0970 Å, b = 4.0970 Å, c = 6.2163 Å
α = 90.00°, β = 90.00°, γ = 90.00°
Atoms (fractional coordinates):
I 0.0000 0.0000 0.5000
O 0.0000 0.5000 0.0000
O 0.5000 0.0000 0.0000
Tc 0.5000 0.5000 0.5000
Zr 0.0000 0.0000 0.0000

**Relative energy among the computed polymorphs**: 0 meV/atom
**Symmetry**: No. 123
**Formation energy without anion corrections**: -0.813 eV/atom
**Spin magnetization**: 3.84 μB per cell

=====

Record 7
## ZrTcI2O (PBE)

Data for a geometry-optimized ZrTcI2O structure.

a = 5.8873 Å, b = 3.9909 Å, c = 5.8873 Å
α = 90.00°, β = 90.00°, γ = 90.00°
Atoms (fractional coordinates):
I 0.0000 0.0000 0.5000
I 0.5000 0.0000 0.0000
O 0.0000 0.5000 0.0000
Tc 0.5000 0.5000 0.5000
Zr 0.0000 0.0000 0.0000

**Relative energy among the computed polymorphs**: 0 meV/atom
**Symmetry**: No. 123
**Formation energy without anion corrections**: -0.188 eV/atom
**Spin magnetization**: 4.77 μB per cell

=====

Record 8
## ZrTcIO2 (PBE)

Data for a geometry-optimized ZrTcIO2 structure.

a = 3.8995 Å, b = 3.8995 Å, c = 6.2337 Å
α = 90.00°, β = 90.00°, γ = 90.00°
Atoms (fractional coordinates):
I 0.0000 0.0000 0.5000
O 0.0000 0.5000 0.0000
O 0.5000 0.0000 0.0000
Tc 0.0000 0.0000 0.0000
Zr 0.5000 0.5000 0.5000

**Relative energy among the computed polymorphs**: 575 meV/atom
**Symmetry**: No. 123
**Formation energy without anion corrections**: -0.238 eV/atom
**Spin magnetization**: 0.42 μB per cell

=====

Record 9
## ZrTcI2O (PBE)

Data for a geometry-optimized ZrTcI2O structure.

a = 5.6109 Å, b = 5.6109 Å, c = 3.7188 Å
α = 90.00°, β = 90.00°, γ = 90.00°
Atoms (fractional coordinates):
I 0.0000 0.5000 0.0000
I 0.5000 0.0000 0.0000
O 0.0000 0.0000 0.5000
Tc 0.0000 0.0000 0.0000
Zr 0.5000 0.5000 0.5000

**Relative energy among the computed polymorphs**: 156 meV/atom
**Symmetry**: No. 123
**Formation energy without anion corrections**: -0.032 eV/atom
**Spin magnetization**: 2.09 μB per cell

=====

Record 10
## TeI2O2 (PBE)

Data for a geometry-optimized TeI2O2 structure.

a = 4.1932 Å, b = 4.1932 Å, c = 8.3826 Å
α = 90.00°, β = 90.00°, γ = 90.00°
Atoms (fractional coordinates):
I 0.0000 0.0000 0.0000
I 0.0000 0.0000 0.5000
Te 0.5000 0.5000 0.5000
O 0.0000 0.5000 0.0000
O 0.5000 0.0000 0.0000

**Relative energy among the computed polymorphs**: 303 meV/atom
**Symmetry**: No. 123
**Formation energy without anion corrections**: 0.213 eV/atom
**Spin magnetization**: 0.00 μB per cell

=====

Record 11
## TeIO3 (PBE)

Data for a geometry-optimized TeIO3 structure.

a = 6.5724 Å, b = 6.5258 Å, c = 6.7592 Å
α = 90.00°, β = 119.09°, γ = 90.00°
Atoms (fractional coordinates):
Te 0.6198 0.3276 0.2395
Te 0.3802 0.8276 0.7605
I 0.2370 0.2498 0.4740
I 0.7630 0.7498 0.5260
O 0.0904 0.9978 0.5778
O 0.4873 0.9978 0.5778
O 0.5101 0.9813 0.0201
O 0.5127 0.4978 0.4222
O 0.4899 0.4813 0.9799
O 0.9096 0.4978 0.4222

**Symmetry**: No. 36
**Formation energy without anion corrections**: -0.352 eV/atom
**Spin magnetization**: 0.00 μB per cell

=====

Record 12
## TeIO3 (PBE)

Data for a geometry-optimized TeIO3 structure.

a = 4.2306 Å, b = 4.2306 Å, c = 4.2306 Å
α = 90.00°, β = 90.00°, γ = 90.00°
Atoms (fractional coordinates):
I 0.0000 0.0000 0.0000
Te 0.5000 0.5000 0.5000
O 0.0000 0.5000 0.0000
O 0.0000 0.0000 0.5000
O 0.5000 0.0000 0.0000

**Symmetry**: No. 221
**Formation energy without anion corrections**: 0.413 eV/atom
**Spin magnetization**: 0.00 μB per cell

=====

> Among the records above, which one has the lowest formation energy without anion corrections?

number 6

=====

> Look up the spin magnetization of the fifth one.

4.37 μB per cell

=====

Please write out number 10 again, unchanged.
## TeI2O2 (PBE)

Data for a geometry-optimized TeI2O2 structure.

a = 4.1932 Å, b = 4.1932 Å, c = 8.3826 Å
α = 90.00°, β = 90.00°, γ = 90.00°
Atoms (fractional coordinates):
I 0.0000 0.0000 0.0000
I 0.0000 0.0000 0.5000
Te 0.5000 0.5000 0.5000
O 0.0000 0.5000 0.0000
O 0.5000 0.0000 0.0000

**Relative energy among the computed polymorphs**: 303 meV/atom
**Symmetry**: No. 123
**Formation energy without anion corrections**: 0.213 eV/atom
**Spin magnetization**: 0.00 μB per cell